Run w
This record from the Alexandria database describes RuSe3 after structural relaxation. The functional is PBE. Values from VASP.

Calculated volume in Å³/f.u.: 72.1
Space group: Pm-3m

Cell and atoms, written as Quantum ESPRESSO input:
```
&SYSTEM
  ibrav = 0, nat = 4, ntyp = 2
/
ATOMIC_SPECIES
Ru 101.07 Ru.upf
Se 78.96 Se.upf
ATOMIC_POSITIONS crystal
Ru 0.000 0.000 0.000
Se 0.000 0.500 0.500
Se 0.500 0.000 0.500
Se 0.500 0.500 0.000
CELL_PARAMETERS angstrom
-3.320 1.533 -1.988
-1.394 -3.867 -0.653
-2.088 0.145 3.598
```

Run x
This record from the Alexandria database describes RuSe3 after structural relaxation. The functional is PBE. Values from VASP.

Calculated volume in Å³/f.u.: 83.7
Space group: I4/mmm

Cell and atoms, written as Quantum ESPRESSO input:
```
&SYSTEM
  ibrav = 0, nat = 8, ntyp = 2
/
ATOMIC_SPECIES
Ru 101.07 Ru.upf
Se 78.96 Se.upf
ATOMIC_POSITIONS crystal
Ru 0.682 0.682 0.000
Ru 0.318 0.318 0.000
Se 0.000 0.500 0.500
Se 0.500 0.000 0.500
Se 0.750 0.250 0.500
Se 0.250 0.750 0.500
Se 0.900 0.900 0.000
Se 0.100 0.100 0.000
CELL_PARAMETERS angstrom
-3.963 7.024 5.695
-5.007 8.509 0.013
1.916 -9.279 -2.777
```

Run y
This record from the Alexandria database describes RuSe3 after structural relaxation. The functional is PBE. Values from VASP.

Calculated volume in Å³/f.u.: 95.2
Space group: Imm2

Cell and atoms, written as Quantum ESPRESSO input:
```
&SYSTEM
  ibrav = 0, nat = 4, ntyp = 2
/
ATOMIC_SPECIES
Ru 101.07 Ru.upf
Se 78.96 Se.upf
ATOMIC_POSITIONS crystal
Ru 0.962 0.000 0.962
Se 0.612 0.500 0.112
Se 0.986 0.357 0.630
Se 0.273 0.643 0.630
CELL_PARAMETERS angstrom
-3.178 5.007 2.061
-6.254 0.011 0.558
5.465 -2.633 1.622
```

Short version: run w is the least stable of them.

Run w
This record from the Alexandria database describes Ru4Se3 after structural relaxation. The functional is PBE. Values from VASP.

Calculated volume in Å³/f.u.: 117.7
Space group: I4/mmm

Cell and atoms, written as Quantum ESPRESSO input:
```
&SYSTEM
  ibrav = 0, nat = 7, ntyp = 2
/
ATOMIC_SPECIES
Ru 101.07 Ru.upf
Se 78.96 Se.upf
ATOMIC_POSITIONS crystal
Ru 0.869 0.869 0.000
Ru 0.131 0.131 0.000
Ru 0.557 0.557 0.000
Ru 0.443 0.443 0.000
Se 0.000 0.000 0.000
Se 0.683 0.683 0.000
Se 0.317 0.317 0.000
CELL_PARAMETERS angstrom
13.255 -2.265 -1.087
13.036 -1.636 3.064
-13.472 -0.104 -0.694
```

Run x
This record from the Alexandria database describes Ru4Se3 after structural relaxation. The functional is PBE. Values from VASP.

Calculated volume in Å³/f.u.: 116.9
Space group: P6/mmm

Cell and atoms, written as Quantum ESPRESSO input:
```
&SYSTEM
  ibrav = 0, nat = 7, ntyp = 2
/
ATOMIC_SPECIES
Ru 101.07 Ru.upf
Se 78.96 Se.upf
ATOMIC_POSITIONS crystal
Ru 0.000 0.000 0.257
Ru 0.000 0.000 0.743
Ru 0.667 0.333 0.500
Ru 0.333 0.667 0.500
Se 0.000 0.500 0.000
Se 0.500 0.500 0.000
Se 0.500 0.000 0.000
CELL_PARAMETERS angstrom
3.883 3.619 1.145
-5.163 1.049 1.315
0.638 -1.975 4.080
```

Short version: run x is the least stable of them.

Run w
This record from the Alexandria database describes RuSe5 after structural relaxation. The functional is PBE. Values from VASP.

Calculated volume in Å³/f.u.: 172.3
Space group: P6/mmm

Cell and atoms, written as Quantum ESPRESSO input:
```
&SYSTEM
  ibrav = 0, nat = 6, ntyp = 2
/
ATOMIC_SPECIES
Ru 101.07 Ru.upf
Se 78.96 Se.upf
ATOMIC_POSITIONS crystal
Ru 0.000 0.000 0.000
Se 0.333 0.667 0.000
Se 0.667 0.333 0.000
Se 0.500 0.000 0.500
Se 0.000 0.500 0.500
Se 0.500 0.500 0.500
CELL_PARAMETERS angstrom
1.646 4.618 0.917
-3.721 -0.723 -3.242
-5.310 0.714 5.935
```

Run x
This record from the Alexandria database describes RuSe5 after structural relaxation. The functional is PBE. Values from VASP.

Calculated volume in Å³/f.u.: 126.2
Space group: P4/mmm

Cell and atoms, written as Quantum ESPRESSO input:
```
&SYSTEM
  ibrav = 0, nat = 6, ntyp = 2
/
ATOMIC_SPECIES
Ru 101.07 Ru.upf
Se 78.96 Se.upf
ATOMIC_POSITIONS crystal
Ru 0.500 0.500 0.000
Se 0.000 0.000 0.884
Se 0.000 0.000 0.116
Se 0.500 0.500 0.641
Se 0.500 0.500 0.359
Se 0.000 0.000 0.500
CELL_PARAMETERS angstrom
-2.690 -0.587 1.410
-1.216 -0.903 -2.696
3.940 -12.370 2.367
```

Short version: run w is the least stable of them.